This record from Alexandria via LeMat-Bulk describes Ac2PrBe2Pd7 after structural relaxation. The functional is PBE.

The value obtained for the energy relative to the elements is -0.6745 eV per atom. The density is 9.23 Mg/m³. The calculation puts the raw total energy at -129.79 eV for the cell shown.

The structure belongs to space group C2/m (No. 12); the cell edges are 6.1471, 6.4241 and 12.7312 Å and the angles 90.00°, 103.74° and 90.00°. The inequivalent atoms are Ac at (0.1847, 0.0000, 0.3696), Pr at (0.0000, 0.0000, 0.0000), Be at (0.1014, 0.5000, 0.1923), Pd at (0.0000, 0.5000, 0.0000), Pd at (0.1652, 0.2531, 0.8326) and Pd at (0.1845, 0.5000, 0.3697).